# 1
Density functional theory data (GGA-PBE) for an optimized crystal structure of Hg2AuCl.

Lattice parameters (Å, degrees): 5.078 5.078 5.078 60.00 60.00 60.00
Positions (direct):
Hg1 0.750 0.750 0.750
Cl1 0.000 0.000 0.000
Au1 0.500 0.500 0.500
Hg2 0.250 0.250 0.250

Results
Excess energy over the best structure of this formula in the dataset (eV per atom): 0.298
Energy relative to the elements, uncorrected (eV per formula unit): 0.69

=====

# 2
Density functional theory data (GGA-PBE) for an optimized crystal structure of Dy2BeSiRh6.

Lattice parameters (Å, degrees): 6.152 6.152 6.162 59.97 59.97 89.99
Positions (direct):
Si1 0.000 0.000 0.000
Rh1 0.742 0.257 0.000
Rh2 0.258 0.743 0.000
Rh3 0.258 0.258 0.485
Rh4 0.742 0.742 0.515
Dy1 0.750 0.250 0.500
Rh5 0.742 0.742 0.000
Be1 0.500 0.500 0.000
Dy2 0.250 0.750 0.500
Rh6 0.258 0.258 0.000

Results
Energy relative to the elements, uncorrected (eV per formula unit): -6.54

=====

# 3
Density functional theory data (GGA-PBE) for an optimized crystal structure of TcC2I.

Lattice parameters (Å, degrees): 4.077 4.077 4.077 60.00 60.00 60.00
Positions (direct):
I1 0.500 0.500 0.500
Tc1 0.000 0.000 0.000
C1 0.750 0.750 0.750
C2 0.250 0.250 0.250

Results
Excess energy over the best structure of this formula in the dataset (eV per atom): 1.187
Energy relative to the elements, uncorrected (eV per formula unit): 10.27

=====

# 4
Density functional theory data (GGA-PBE) for an optimized crystal structure of AcTb2Ho6Er.

Lattice parameters (Å, degrees): 9.479 8.883 8.883 117.90 92.60 92.60
Positions (direct):
Er1 0.250 0.412 0.588
Ho1 0.558 0.750 0.132
Ho2 0.182 0.558 0.015
Tb1 0.549 0.202 0.317
Ho3 0.682 0.015 0.558
Ac1 0.750 0.029 0.971
Tb2 0.451 0.798 0.683
Ho4 0.616 0.492 0.713
Er2 0.750 0.588 0.412
Tb3 0.951 0.683 0.798
Tb4 0.049 0.317 0.202
Ho5 0.442 0.250 0.868
Ho6 0.884 0.287 0.508
Ho7 0.116 0.713 0.492
Ac2 0.250 0.971 0.029
Ho8 0.384 0.508 0.287
Ho9 0.942 0.868 0.250
Ho10 0.058 0.132 0.750
Ho11 0.818 0.442 0.985
Ho12 0.318 0.985 0.442

Results
Total energy (eV per atom): -4.41